DFT (PBE) results for a geometry-optimized DyScPbC structure.

Cell: 3.518 3.518 15.688 Å, 90.00 90.00 120.00°
Fractional positions:
C 0.000 0.000 0.000
C 0.000 0.000 0.500
Dy 0.333 0.667 0.086
Dy 0.667 0.333 0.914
Sc 0.667 0.333 0.575
Sc 0.333 0.667 0.425
Pb 0.333 0.667 0.738
Pb 0.667 0.333 0.262

Summary:
The value obtained for the total magnetic moment is 0.01 μB/f.u. The space group is P-3m1, No. 164. For the energy relative to the lowest polymorph listed for this composition, the calculation gives 2 meV/atom.

DFT (PBE) results for a geometry-optimized ScReNO structure.

Cell: 3.160 5.445 5.969 Å, 90.00 90.00 90.00°
Fractional positions:
N 0.000 0.670 0.162
N 0.000 0.330 0.662
Sc 0.500 0.173 0.475
Sc 0.500 0.827 0.975
O 0.500 0.168 0.134
O 0.500 0.832 0.634
Re 0.000 0.361 0.974
Re 0.000 0.639 0.474

Summary:
The value obtained for the total magnetic moment is 0.00 μB/f.u. The space group is Pmc2_1, No. 26. For the energy relative to the lowest polymorph listed for this composition, the calculation gives 618 meV/atom.

DFT (PBE) results for a geometry-optimized Sm3AlBr2Cl structure.

Cell: 5.878 5.878 5.955 Å, 90.00 90.00 90.00°
Fractional positions:
Al 0.500 0.500 0.500
Br 0.500 0.000 0.000
Br 0.000 0.500 0.000
Sm 0.500 0.000 0.500
Sm 0.000 0.500 0.500
Sm 0.500 0.500 0.000
Cl 0.000 0.000 0.500

Summary:
The value obtained for the total magnetic moment is 0.00 μB/f.u. The space group is P4/mmm, No. 123. The calculated total energy is -4.565 eV/atom.

DFT (PBE) results for a geometry-optimized SnAsPd structure.

Cell: 4.493 4.493 4.493 Å, 60.00 60.00 60.00°
Fractional positions:
Sn 0.750 0.750 0.750
Pd 0.000 0.000 0.000
As 0.250 0.250 0.250

Summary:
The space group is F-43m, No. 216. For the energy relative to the lowest polymorph listed for this composition, the calculation gives 0 meV/atom.

DFT (PBE) results for a geometry-optimized La2GdSn2Pb5 structure.

Cell: 13.329 13.329 4.807 Å, 90.00 90.00 159.83°
Fractional positions:
Pb 0.905 0.095 0.500
Pb 0.095 0.905 0.500
Pb 0.292 0.708 0.500
Pb 0.500 0.500 0.500
Pb 0.708 0.292 0.500
Sn 0.592 0.408 0.000
Sn 0.408 0.592 0.000
Gd 0.000 0.000 0.000
La 0.815 0.185 0.000
La 0.185 0.815 0.000

Summary:
The value obtained for the total magnetic moment is 0.02 μB/f.u. The space group is Cmmm, No. 65. For the energy relative to the lowest polymorph listed for this composition, the calculation gives 10 meV/atom.

DFT (PBE) results for a geometry-optimized ZrH3 structure.

Cell: 5.872 3.421 5.933 Å, 90.00 90.00 90.00°
Fractional positions:
H 0.598 0.250 0.412
H 0.902 0.250 0.421
H 0.098 0.250 0.088
H 0.402 0.750 0.588
H 0.098 0.750 0.579
H 0.268 0.750 0.250
H 0.598 0.750 0.921
H 0.902 0.750 0.912
H 0.232 0.250 0.750
H 0.732 0.250 0.750
H 0.402 0.250 0.079
H 0.768 0.750 0.250
Zr 0.751 0.250 0.083
Zr 0.249 0.750 0.917
Zr 0.250 0.250 0.417
Zr 0.749 0.750 0.583

Summary:
The value obtained for the total magnetic moment is 0.00 μB/f.u. The space group is Pnma, No. 62. The calculated total energy is -5.051 eV/atom.

DFT (PBE) results for a geometry-optimized K2CuPbBr6 structure.

Cell: 7.784 7.784 7.784 Å, 60.00 60.00 60.00°
Fractional positions:
Br 0.764 0.236 0.236
Br 0.764 0.236 0.764
Br 0.236 0.236 0.764
Br 0.236 0.764 0.236
Br 0.236 0.764 0.764
Br 0.764 0.764 0.236
K 0.250 0.250 0.250
K 0.750 0.750 0.750
Cu 0.000 0.000 0.000
Pb 0.500 0.500 0.500

Summary:
The space group is Fm-3m, No. 225. The calculated total energy is -2.972 eV/atom.

DFT (PBE) results for a geometry-optimized AlTcNiAg structure.

Cell: 4.337 4.337 4.337 Å, 60.00 60.00 60.00°
Fractional positions:
Tc 0.250 0.250 0.250
Ni 0.750 0.750 0.750
Al 0.000 0.000 0.000
Ag 0.500 0.500 0.500

Summary:
The value obtained for the total magnetic moment is 1.71 μB/f.u. The space group is F-43m, No. 216. The calculated total energy is -5.449 eV/atom.